Below is TbPm3Pr2Ho6 after structural relaxation, with properties calculated at the PBE level.

Cell and atoms, written as POSCAR:
```
TbPm3Pr2Ho6
1.0
-2.4947 -5.2334 -2.2792
-0.2799 1.1781 6.1107
-9.2174 6.8429 -2.7961
Pr Ho Pm Tb
2 6 3 1
direct
0.3335 0.6665 0.0000
0.6665 0.3335 0.0000
0.9163 0.5835 0.7496
0.5835 0.9163 0.7496
0.4165 0.0837 0.2504
0.2488 0.2488 0.7494
0.0837 0.4165 0.2504
0.7512 0.7512 0.2506
0.8333 0.1667 0.5000
0.5000 0.5000 0.5000
0.1667 0.8333 0.5000
0.0000 0.0000 0.0000
```

Computed properties:
- Symmetry: C2/m (12)
- DOS(E_F): 1.133 states/eV/atom
- Energy of formation: 0.32 kcal/mol of atoms